{
  "formula": "SrMn2V2O7",
  "functional": "PBE with a Hubbard U",
  "state": "relaxed",
  "lattice": [[-1.8892, 2.0775, 9.2212], [1.8892, -2.0775, 9.2212], [1.8892, 2.0775, -9.2212]],
  "species": ["Sr", "Mn", "Mn", "V", "V", "O", "O", "O", "O", "O", "O", "O"],
  "frac_coords": [[0.0000, 0.0000, 0.0000], [0.2210, 0.7210, 0.5000], [0.7790, 0.2790, 0.5000], [0.3951, 0.3951, 0.0000], [0.6049, 0.6049, 0.0000], [0.1072, 0.6072, 0.5000], [0.2798, 0.2798, 0.0000], [0.3936, 0.8936, 0.5000], [0.5000, 0.5000, 0.0000], [0.6064, 0.1064, 0.5000], [0.7202, 0.7202, 0.0000], [0.8928, 0.3928, 0.5000]],
  "space_group": "Immm (71)",
  "n_ef_per_ev_cell": 1.64,
  "dft_energy_ev_per_atom": -7.5489
}